1.
SCAN CrIn2Tc, single point on PBEsol structure; ΔE to the lowest computed polymorph = 157 meV per atom; magnetic moment = 1.64 Bohr magnetons per cell; final energy = -118.856 eV/cell; calculated volume = 68 Å³/f.u.; ΔH_f (0 K) = 131.3 kJ/mol of formula units
1.0
3.065 0.000 0.000
0.000 4.091 0.000
-1.405 0.000 5.427
Cr In Tc
1 2 1
Direct
0.000 0.000 0.000
0.214 0.000 0.553
0.570 0.500 0.238
0.805 0.500 0.794

2.
SCAN Y2H2Ru, single point on PBEsol structure; magnetic moment = 0.00 Bohr magnetons per cell; final energy = -100.458 eV/cell; calculated volume = 72 Å³/f.u.
1.0
-1.697 1.697 6.219
1.697 -1.697 6.219
1.697 1.697 -6.219
Y H Ru
2 2 1
Direct
0.135 0.135 0.000
0.865 0.865 0.000
0.250 0.750 0.500
0.750 0.250 0.500
0.500 0.500 0.000

3.
SCAN MgCdW2, single point on PBEsol structure; ΔE to the lowest computed polymorph = 0 meV per atom; magnetic moment = 0.00 Bohr magnetons per cell; final energy = -173.187 eV/cell; calculated volume = 69 Å³/f.u.; ΔH_f (0 K) = 152.2 kJ/mol of formula units
1.0
2.766 0.000 0.000
0.000 4.413 0.000
-1.198 0.000 5.619
Mg Cd W
1 1 2
Direct
0.000 0.000 0.000
0.231 0.500 0.755
0.554 0.000 0.470
0.747 0.500 0.263

4.
SCAN SrAl2Au3, single point on PBEsol structure; magnetic moment = 0.00 Bohr magnetons per cell; final energy = -1001.995 eV/cell; calculated volume = 123 Å³/f.u.; ΔH_f (0 K) = -506.4 kJ/mol of formula units
1.0
13.121 0.000 0.000
0.000 5.466 0.000
0.000 0.000 6.859
Sr Al Au
4 8 12
Direct
0.090 0.250 0.155
0.410 0.750 0.655
0.590 0.250 0.345
0.910 0.750 0.845
0.150 0.000 0.642
0.150 0.500 0.642
0.350 0.000 0.142
0.350 0.500 0.142
0.650 0.000 0.858
0.650 0.500 0.858
0.850 0.000 0.358
0.850 0.500 0.358
0.009 0.750 0.406
0.194 0.750 0.944
0.218 0.750 0.347
0.282 0.250 0.847
0.306 0.250 0.444
0.491 0.250 0.906
0.509 0.750 0.094
0.694 0.750 0.556
0.718 0.750 0.153
0.782 0.250 0.653
0.806 0.250 0.056
0.991 0.250 0.594

5.
SCAN RbPH3O4F, single point on PBEsol structure; magnetic moment = 0.00 Bohr magnetons per cell; final energy = -357.808 eV/cell; calculated volume = 124 Å³/f.u.
1.0
9.040 0.000 0.000
0.000 4.551 0.000
0.000 0.000 12.041
Rb P H O F
4 4 12 16 4
Direct
0.157 0.139 0.000
0.343 0.639 0.500
0.657 0.361 0.000
0.843 0.861 0.500
0.022 0.420 0.742
0.478 0.920 0.242
0.522 0.080 0.742
0.978 0.580 0.242
0.098 0.266 0.403
0.103 0.879 0.707
0.220 0.691 0.211
0.280 0.191 0.711
0.397 0.379 0.207
0.402 0.766 0.903
0.598 0.234 0.403
0.603 0.621 0.707
0.720 0.809 0.211
0.780 0.309 0.711
0.897 0.121 0.207
0.902 0.734 0.903
0.020 0.476 0.357
0.092 0.670 0.670
0.114 0.694 0.173
0.134 0.165 0.750
0.366 0.665 0.250
0.386 0.194 0.673
0.408 0.170 0.170
0.480 0.976 0.857
0.520 0.024 0.357
0.592 0.830 0.670
0.614 0.806 0.173
0.634 0.335 0.750
0.866 0.835 0.250
0.886 0.306 0.673
0.908 0.330 0.170
0.980 0.524 0.857
0.158 0.112 0.450
0.342 0.612 0.950
0.658 0.388 0.450
0.842 0.888 0.950

6.
SCAN ThSi2Ru3, single point on PBEsol structure; magnetic moment = 0.00 Bohr magnetons per cell; final energy = -225.210 eV/cell; calculated volume = 96 Å³/f.u.
1.0
5.569 0.000 0.000
-2.785 4.823 0.000
0.000 0.000 3.587
Th Si Ru
1 2 3
Direct
0.000 0.000 0.000
0.333 0.667 0.000
0.667 0.333 0.000
0.000 0.500 0.500
0.500 0.000 0.500
0.500 0.500 0.500

7.
SCAN Ga2SiTe, single point on PBEsol structure; magnetic moment = 0.00 Bohr magnetons per cell; final energy = -161.031 eV/cell; calculated volume = 102 Å³/f.u.
1.0
-2.937 2.937 5.895
2.937 -2.937 5.895
2.937 2.937 -5.895
Ga Si Te
4 2 2
Direct
0.076 0.625 0.951
0.375 0.326 0.451
0.674 0.125 0.049
0.875 0.924 0.549
0.000 0.000 0.000
0.750 0.250 0.500
0.250 0.750 0.500
0.500 0.500 0.000

8.
SCAN Zr2InCu, single point on PBEsol structure; magnetic moment = 0.00 Bohr magnetons per cell; final energy = -111.219 eV/cell; calculated volume = 76 Å³/f.u.; ΔH_f (0 K) = -119.2 kJ/mol of formula units
1.0
3.079 0.000 0.000
0.000 3.079 0.000
0.000 0.000 7.967
Zr In Cu
2 1 1
Direct
0.000 0.000 0.223
0.000 0.000 0.777
0.500 0.500 0.500
0.500 0.500 0.000